## PrGdOs (PBE-GGA)

Data for a geometry-optimized PrGdOs structure.

Cell and atoms, written as CIF:
```
data_PrGdOs
_symmetry_space_group_name_H-M 'P 1'
_symmetry_Int_Tables_number 1
_symmetry_space_group_name_Hall 'P 1'
_cell_length_a 3.4678
_cell_length_b 3.4678
_cell_length_c 7.2977
_cell_angle_alpha 103.74
_cell_angle_beta 103.74
_cell_angle_gamma 90.00
loop_
_atom_site_label
_atom_site_type_symbol
_atom_site_fract_x
_atom_site_fract_y
_atom_site_fract_z
Pr1 Pr 0.0411 0.0411 0.0822
Gd1 Gd 0.2889 0.2889 0.5778
Os1 Os 0.6700 0.6700 0.3400
```

Properties
Its formation energy is -74 meV per atom. The density of states at the Fermi level comes out at 2.025 states/eV per cell. The relative energy among the computed polymorphs comes out at 0.7 kJ per mole of atoms.

=====

## Sr2HfGeI (PBE-GGA)

Data for a geometry-optimized Sr2HfGeI structure.

Cell and atoms, written as CIF:
```
data_Sr2HfGeI
_symmetry_space_group_name_H-M 'P 1'
_symmetry_Int_Tables_number 1
_symmetry_space_group_name_Hall 'P 1'
_cell_length_a 6.5310
_cell_length_b 6.5310
_cell_length_c 5.0262
_cell_angle_alpha 90.00
_cell_angle_beta 90.00
_cell_angle_gamma 90.00
loop_
_atom_site_label
_atom_site_type_symbol
_atom_site_fract_x
_atom_site_fract_y
_atom_site_fract_z
I1 I 0.5000 0.5000 0.5000
Sr1 Sr 0.0000 0.5000 0.0000
Sr2 Sr 0.5000 0.0000 0.0000
Ge1 Ge 0.0000 0.0000 0.5000
Hf1 Hf 0.0000 0.0000 0.0000
```

Properties
The uncorrected formation energy is 0.622 eV/f.u. The density of states at the Fermi level comes out at 4.023 states/eV per cell.

=====

## BaGe12Pd4 (PBE-GGA)

Data for a geometry-optimized BaGe12Pd4 structure.

Cell and atoms, written as CIF:
```
data_BaGe12Pd4
_symmetry_space_group_name_H-M 'P 1'
_symmetry_Int_Tables_number 1
_symmetry_space_group_name_Hall 'P 1'
_cell_length_a 7.6199
_cell_length_b 7.6199
_cell_length_c 7.6199
_cell_angle_alpha 109.47
_cell_angle_beta 109.47
_cell_angle_gamma 109.47
loop_
_atom_site_label
_atom_site_type_symbol
_atom_site_fract_x
_atom_site_fract_y
_atom_site_fract_z
Ba1 Ba 0.0000 0.0000 0.0000
Ge1 Ge 0.8472 0.3571 0.2042
Ge2 Ge 0.3571 0.5099 0.1528
Ge3 Ge 0.7958 0.1528 0.6429
Ge4 Ge 0.3571 0.2042 0.8472
Ge5 Ge 0.2042 0.8472 0.3571
Ge6 Ge 0.6429 0.4901 0.8472
Ge7 Ge 0.5099 0.1528 0.3571
Ge8 Ge 0.4901 0.8472 0.6429
Ge9 Ge 0.6429 0.7958 0.1528
Ge10 Ge 0.8472 0.6429 0.4901
Ge11 Ge 0.1528 0.3571 0.5099
Ge12 Ge 0.1528 0.6429 0.7958
Pd1 Pd 0.0000 0.5000 0.0000
Pd2 Pd 0.5000 0.0000 0.0000
Pd3 Pd 0.5000 0.5000 0.5000
Pd4 Pd 0.0000 0.0000 0.5000
```

Properties
Its formation energy is -259 meV per atom. The density of states at the Fermi level comes out at 10.637 states/eV per cell.

=====

## ThCuAu (PBE-GGA)

Data for a geometry-optimized ThCuAu structure.

Cell and atoms, written as CIF:
```
data_ThCuAu
_symmetry_space_group_name_H-M 'P 1'
_symmetry_Int_Tables_number 1
_symmetry_space_group_name_Hall 'P 1'
_cell_length_a 4.1911
_cell_length_b 3.7559
_cell_length_c 9.4321
_cell_angle_alpha 101.48
_cell_angle_beta 116.02
_cell_angle_gamma 90.00
loop_
_atom_site_label
_atom_site_type_symbol
_atom_site_fract_x
_atom_site_fract_y
_atom_site_fract_z
Th1 Th 0.5372 0.8922 0.7844
Th2 Th 0.4628 0.1078 0.2156
Cu1 Cu 0.1732 0.4610 0.9221
Cu2 Cu 0.8268 0.5390 0.0779
Au1 Au 0.8502 0.2977 0.5954
Au2 Au 0.1498 0.7023 0.4046
```

Properties
Its formation energy is -429 meV per atom. The density of states at the Fermi level comes out at 4.334 states/eV per cell. The relative energy among the computed polymorphs comes out at 5.8 kJ per mole of atoms.

=====

## LiCaTc (PBE-GGA)

Data for a geometry-optimized LiCaTc structure.

Cell and atoms, written as CIF:
```
data_LiCaTc
_symmetry_space_group_name_H-M 'P 1'
_symmetry_Int_Tables_number 1
_symmetry_space_group_name_Hall 'P 1'
_cell_length_a 4.5695
_cell_length_b 4.5695
_cell_length_c 4.5695
_cell_angle_alpha 60.00
_cell_angle_beta 60.00
_cell_angle_gamma 60.00
loop_
_atom_site_label
_atom_site_type_symbol
_atom_site_fract_x
_atom_site_fract_y
_atom_site_fract_z
Ca1 Ca 0.5000 0.5000 0.5000
Li1 Li 0.7500 0.7500 0.7500
Tc1 Tc 0.0000 0.0000 0.0000
```

Properties
Its formation energy is 1072 meV per atom. The density of states at the Fermi level comes out at 3.393 states/eV per cell. The relative energy among the computed polymorphs comes out at 89.0 kJ per mole of atoms.

=====

## LaTeAs2Br (PBE-GGA)

Data for a geometry-optimized LaTeAs2Br structure.

Cell and atoms, written as CIF:
```
data_LaTeAs2Br
_symmetry_space_group_name_H-M 'P 1'
_symmetry_Int_Tables_number 1
_symmetry_space_group_name_Hall 'P 1'
_cell_length_a 5.8639
_cell_length_b 5.8639
_cell_length_c 5.5417
_cell_angle_alpha 90.00
_cell_angle_beta 90.00
_cell_angle_gamma 90.00
loop_
_atom_site_label
_atom_site_type_symbol
_atom_site_fract_x
_atom_site_fract_y
_atom_site_fract_z
As1 As 0.0000 0.5000 0.0000
As2 As 0.5000 0.0000 0.0000
Te1 Te 0.5000 0.5000 0.5000
Br1 Br 0.0000 0.0000 0.5000
La1 La 0.0000 0.0000 0.0000
```

Properties
The uncorrected formation energy is 0.759 eV/f.u. The density of states at the Fermi level comes out at 5.324 states/eV per cell. The relative energy among the computed polymorphs comes out at 19.4 kJ per mole of atoms.

=====

## BeI2F (PBE-GGA)

Data for a geometry-optimized BeI2F structure.

Cell and atoms, written as CIF:
```
data_BeI2F
_symmetry_space_group_name_H-M 'P 1'
_symmetry_Int_Tables_number 1
_symmetry_space_group_name_Hall 'P 1'
_cell_length_a 6.4986
_cell_length_b 6.4986
_cell_length_c 6.8772
_cell_angle_alpha 61.80
_cell_angle_beta 61.80
_cell_angle_gamma 90.00
loop_
_atom_site_label
_atom_site_type_symbol
_atom_site_fract_x
_atom_site_fract_y
_atom_site_fract_z
I1 I 0.5698 0.1250 0.2500
I2 I 0.1802 0.6250 0.2500
I3 I 0.3750 0.4302 0.7500
I4 I 0.8750 0.8198 0.7500
Be1 Be 0.5000 0.5000 0.0000
Be2 Be 0.2500 0.7500 0.5000
F1 F 0.0000 0.0000 0.0000
F2 F 0.7500 0.2500 0.5000
```

Properties
The uncorrected formation energy is -1.668 eV/f.u. The density of states at the Fermi level comes out at 5.322 states/eV per cell. The relative energy among the computed polymorphs comes out at 0.0 kJ per mole of atoms.

=====

## ZnAs2SeN (PBE-GGA)

Data for a geometry-optimized ZnAs2SeN structure.

Cell and atoms, written as CIF:
```
data_ZnAs2SeN
_symmetry_space_group_name_H-M 'P 1'
_symmetry_Int_Tables_number 1
_symmetry_space_group_name_Hall 'P 1'
_cell_length_a 4.3394
_cell_length_b 4.3394
_cell_length_c 4.5665
_cell_angle_alpha 90.00
_cell_angle_beta 90.00
_cell_angle_gamma 90.00
loop_
_atom_site_label
_atom_site_type_symbol
_atom_site_fract_x
_atom_site_fract_y
_atom_site_fract_z
As1 As 0.0000 0.5000 0.0000
As2 As 0.5000 0.0000 0.0000
Zn1 Zn 0.5000 0.5000 0.5000
Se1 Se 0.0000 0.0000 0.5000
N1 N 0.0000 0.0000 0.0000
```

Properties
The uncorrected formation energy is 4.082 eV/f.u. The density of states at the Fermi level comes out at 2.528 states/eV per cell. The relative energy among the computed polymorphs comes out at 0.0 kJ per mole of atoms.

=====

## AcTm2ReO8 (PBE-GGA)

Data for a geometry-optimized AcTm2ReO8 structure.

Cell and atoms, written as CIF:
```
data_AcTm2ReO8
_symmetry_space_group_name_H-M 'P 1'
_symmetry_Int_Tables_number 1
_symmetry_space_group_name_Hall 'P 1'
_cell_length_a 5.0631
_cell_length_b 5.0612
_cell_length_c 6.9934
_cell_angle_alpha 90.00
_cell_angle_beta 90.00
_cell_angle_gamma 88.37
loop_
_atom_site_label
_atom_site_type_symbol
_atom_site_fract_x
_atom_site_fract_y
_atom_site_fract_z
Ac1 Ac 0.0000 0.0000 0.5000
Tm1 Tm 0.5000 0.5000 0.7481
Tm2 Tm 0.5000 0.5000 0.2519
Re1 Re 0.0000 0.0000 0.0000
O1 O 0.1886 0.8106 0.1950
O2 O 0.7363 0.7371 0.0000
O3 O 0.8115 0.1894 0.1950
O4 O 0.8114 0.1894 0.8050
O5 O 0.2637 0.2629 0.0000
O6 O 0.1885 0.8106 0.8050
O7 O 0.6746 0.6759 0.5000
O8 O 0.3254 0.3241 0.5000
```

Properties
The uncorrected formation energy is -33.347 eV/f.u.

=====

## Pm2ThAg6 (PBE-GGA)

Data for a geometry-optimized Pm2ThAg6 structure.

Cell and atoms, written as CIF:
```
data_Pm2ThAg6
_symmetry_space_group_name_H-M 'P 1'
_symmetry_Int_Tables_number 1
_symmetry_space_group_name_Hall 'P 1'
_cell_length_a 3.4723
_cell_length_b 8.3809
_cell_length_c 8.3809
_cell_angle_alpha 120.00
_cell_angle_beta 90.00
_cell_angle_gamma 90.00
loop_
_atom_site_label
_atom_site_type_symbol
_atom_site_fract_x
_atom_site_fract_y
_atom_site_fract_z
Pm1 Pm 0.0000 0.3333 0.6667
Pm2 Pm 0.0000 0.6667 0.3333
Th1 Th 0.0000 0.0000 0.0000
Ag1 Ag 0.5000 0.3339 0.3339
Ag2 Ag 0.5000 0.6661 0.6661
Ag3 Ag 0.5000 0.0000 0.6661
Ag4 Ag 0.5000 0.6661 0.0000
Ag5 Ag 0.5000 0.3339 0.0000
Ag6 Ag 0.5000 0.0000 0.3339
```

Properties
Its formation energy is -215 meV per atom. The density of states at the Fermi level comes out at 8.751 states/eV per cell.

=====

## LaTm6Tl2 (PBE-GGA)

Data for a geometry-optimized LaTm6Tl2 structure.

Cell and atoms, written as CIF:
```
data_LaTm6Tl2
_symmetry_space_group_name_H-M 'P 1'
_symmetry_Int_Tables_number 1
_symmetry_space_group_name_Hall 'P 1'
_cell_length_a 3.7074
_cell_length_b 6.5840
_cell_length_c 11.9561
_cell_angle_alpha 74.92
_cell_angle_beta 81.08
_cell_angle_gamma 73.65
loop_
_atom_site_label
_atom_site_type_symbol
_atom_site_fract_x
_atom_site_fract_y
_atom_site_fract_z
La1 La 0.0000 0.0000 0.0000
Tm1 Tm 0.6894 0.4936 0.1276
Tm2 Tm 0.3106 0.5064 0.8724
Tm3 Tm 0.3103 0.7998 0.5796
Tm4 Tm 0.9896 0.6686 0.3523
Tm5 Tm 0.0104 0.3314 0.6477
Tm6 Tm 0.6897 0.2002 0.4204
Tl1 Tl 0.3571 0.0603 0.2254
Tl2 Tl 0.6429 0.9397 0.7746
```

Properties
Its formation energy is -134 meV per atom. The density of states at the Fermi level comes out at 12.150 states/eV per cell.

=====

## Ir2OsW2 (PBE-GGA)

Data for a geometry-optimized Ir2OsW2 structure.

Cell and atoms, written as CIF:
```
data_Ir2OsW2
_symmetry_space_group_name_H-M 'P 1'
_symmetry_Int_Tables_number 1
_symmetry_space_group_name_Hall 'P 1'
_cell_length_a 7.4926
_cell_length_b 7.4926
_cell_length_c 2.8084
_cell_angle_alpha 90.00
_cell_angle_beta 90.00
_cell_angle_gamma 90.00
loop_
_atom_site_label
_atom_site_type_symbol
_atom_site_fract_x
_atom_site_fract_y
_atom_site_fract_z
Ir1 Ir 0.3739 0.8739 0.0000
Ir2 Ir 0.8739 0.6261 0.0000
Ir3 Ir 0.6261 0.1261 0.0000
Ir4 Ir 0.1261 0.3739 0.0000
Os1 Os 0.0000 0.0000 0.0000
Os2 Os 0.5000 0.5000 0.0000
W1 W 0.1716 0.6716 0.5000
W2 W 0.6716 0.8284 0.5000
W3 W 0.8284 0.3284 0.5000
W4 W 0.3284 0.1716 0.5000
```

Properties
Its formation energy is 135 meV per atom. The density of states at the Fermi level comes out at 8.320 states/eV per cell. The relative energy among the computed polymorphs comes out at 23.9 kJ per mole of atoms.

=====

## PmMnGe2Ru (PBE-GGA)

Data for a geometry-optimized PmMnGe2Ru structure.

Cell and atoms, written as CIF:
```
data_PmMnGe2Ru
_symmetry_space_group_name_H-M 'P 1'
_symmetry_Int_Tables_number 1
_symmetry_space_group_name_Hall 'P 1'
_cell_length_a 4.0889
_cell_length_b 4.0889
_cell_length_c 6.1230
_cell_angle_alpha 109.51
_cell_angle_beta 109.51
_cell_angle_gamma 90.00
loop_
_atom_site_label
_atom_site_type_symbol
_atom_site_fract_x
_atom_site_fract_y
_atom_site_fract_z
Pm1 Pm 0.0000 0.0000 0.0000
Mn1 Mn 0.7500 0.2500 0.5000
Ge1 Ge 0.6215 0.6215 0.2429
Ge2 Ge 0.3785 0.3785 0.7571
Ru1 Ru 0.2500 0.7500 0.5000
```

Properties
Its formation energy is -592 meV per atom. The density of states at the Fermi level comes out at 1.447 states/eV per cell.

=====

Calculated calculated volume in order - 82.7 214.4 340.6 130.1 67.5 190.6 216.1 86.0 179.1 211.2 269.3 157.7 90.2 Å³ per cell